1.
# Sc3SiNi (PBE, optimized geometry)
data_Sc3SiNi
_space_group_name_H-M_alt 'C m m m'
_space_group_IT_number 65
_space_group_name_Hall '-C 2 2'
_cell_length_a 4.815
_cell_length_b 31.506
_cell_length_c 3.075
_cell_angle_alpha 90.00
_cell_angle_beta 90.00
_cell_angle_gamma 90.00
loop_
_atom_site_label
_atom_site_fract_x
_atom_site_fract_y
_atom_site_fract_z
_atom_site_occupancy
Sc1 0.000 0.049 0.000 1
Sc2 0.000 0.213 0.500 1
Sc3 0.000 0.349 0.500 1
Si1 0.000 0.118 0.500 1
Ni1 0.000 0.281 0.000 1
# Energy relative to the elements, uncorrected   -21 meV/atom
# E above lowest polymorph   0.33 eV/f.u.
# DOS(E_F)   15.55 states/eV/cell


2.
# Tb2PmNd5Y (PBE, optimized geometry)
data_Tb2PmNd5Y
_space_group_name_H-M_alt 'C m c 21'
_space_group_IT_number 36
_space_group_name_Hall 'C 2c -2'
_cell_length_a 5.698
_cell_length_b 20.579
_cell_length_c 10.735
_cell_angle_alpha 90.00
_cell_angle_beta 90.00
_cell_angle_gamma 90.00
loop_
_atom_site_label
_atom_site_fract_x
_atom_site_fract_y
_atom_site_fract_z
_atom_site_occupancy
Tb1 0.000 0.112 0.000 1
Tb2 0.000 0.116 0.579 1
Pm1 0.000 0.201 0.274 1
Nd1 0.000 0.016 0.284 1
Nd2 0.000 0.280 0.574 1
Nd3 0.000 0.297 0.968 1
Nd4 0.000 0.390 0.289 1
Nd5 0.000 0.480 0.007 1
Y1 0.000 0.409 0.722 1
# DOS(E_F)   57.36 states/eV/cell
# Energy of formation from the pure elements   145 meV per atom


3.
# RbPt (PBE, optimized geometry)
data_RbPt
_space_group_name_H-M_alt 'C 1 2/m 1'
_space_group_IT_number 12
_space_group_name_Hall '-C 2y'
_cell_length_a 12.863
_cell_length_b 2.992
_cell_length_c 6.152
_cell_angle_alpha 90.00
_cell_angle_beta 107.12
_cell_angle_gamma 90.00
loop_
_atom_site_label
_atom_site_fract_x
_atom_site_fract_y
_atom_site_fract_z
_atom_site_occupancy
Rb1 0.098 0.000 0.306 1
Pt1 0.173 0.500 0.862 1
# DOS(E_F)   3.61 states/eV/cell
# Energy of formation from the pure elements   189 meV per atom


4.
# ErSb2S4 (PBE, optimized geometry)
data_ErSb2S4
_space_group_name_H-M_alt 'C m c m'
_space_group_IT_number 63
_space_group_name_Hall '-C 2c 2'
_cell_length_a 4.097
_cell_length_b 12.778
_cell_length_c 12.808
_cell_angle_alpha 90.00
_cell_angle_beta 90.00
_cell_angle_gamma 90.00
loop_
_atom_site_label
_atom_site_fract_x
_atom_site_fract_y
_atom_site_fract_z
_atom_site_occupancy
Er1 0.000 0.125 0.250 1
Sb1 0.000 0.377 0.061 1
S1 0.000 0.000 0.000 1
S2 0.000 0.279 0.623 1
S3 0.000 0.485 0.250 1
# Energy relative to the elements, uncorrected   -698 meV/atom
# DOS(E_F)   5.64 states/eV/cell


5.
# Ce2SiAs (PBE, optimized geometry)
data_Ce2SiAs
_space_group_name_H-M_alt 'R -3 m'
_space_group_IT_number 166
_space_group_name_Hall '-R 3 2"'
_cell_length_a 4.1967
_cell_length_b 4.1967
_cell_length_c 20.6177
_cell_angle_alpha 90.00
_cell_angle_beta 90.00
_cell_angle_gamma 120.00
loop_
_atom_site_label
_atom_site_fract_x
_atom_site_fract_y
_atom_site_fract_z
_atom_site_occupancy
Ce1 0.0000 0.0000 0.2493 1
Si1 0.0000 0.0000 0.5000 1
As1 0.0000 0.0000 0.0000 1
# Energy relative to the elements, uncorrected   -945 meV/atom
# E above lowest polymorph   0.18 eV/f.u.
# DOS(E_F)   19.84 states/eV/cell


6.
# ZrCuH8O4F6 (PBE, optimized geometry)
data_ZrCuH8O4F6
_space_group_name_H-M_alt 'P 1 21/c 1'
_space_group_IT_number 14
_space_group_name_Hall '-P 2ybc'
_cell_length_a 5.834
_cell_length_b 10.025
_cell_length_c 7.632
_cell_angle_alpha 90.00
_cell_angle_beta 101.37
_cell_angle_gamma 90.00
loop_
_atom_site_label
_atom_site_fract_x
_atom_site_fract_y
_atom_site_fract_z
_atom_site_occupancy
Zr1 0.000 0.000 0.000 1
Cu1 0.500 0.000 0.500 1
H1 0.261 0.208 0.516 1
H2 0.271 0.133 0.703 1
H3 0.277 0.649 0.193 1
H4 0.284 0.721 0.008 1
O1 0.265 0.119 0.573 1
O2 0.372 0.661 0.100 1
F1 0.148 0.649 0.372 1
F2 0.214 0.140 0.916 1
F3 0.245 0.534 0.721 1
# Final energy   -213.56 eV for the cell shown


7.
# LiMg2Al (PBE, optimized geometry)
data_LiMg2Al
_space_group_name_H-M_alt 'C m m m'
_space_group_IT_number 65
_space_group_name_Hall '-C 2 2'
_cell_length_a 3.494
_cell_length_b 4.858
_cell_length_c 9.458
_cell_angle_alpha 90.00
_cell_angle_beta 90.00
_cell_angle_gamma 90.00
loop_
_atom_site_label
_atom_site_fract_x
_atom_site_fract_y
_atom_site_fract_z
_atom_site_occupancy
Li1 0.000 0.000 0.000 1
Mg1 0.000 0.500 0.253 1
Al1 0.000 0.000 0.500 1
# DOS(E_F)   1.49 states/eV/cell
# Energy of formation from the pure elements   -1 meV per atom


8.
# PrTm3 (PBE, optimized geometry)
data_PrTm3
_space_group_name_H-M_alt 'P 63/m m c'
_space_group_IT_number 194
_space_group_name_Hall '-P 6c 2c'
_cell_length_a 7.2021
_cell_length_b 7.2021
_cell_length_c 5.6682
_cell_angle_alpha 90.00
_cell_angle_beta 90.00
_cell_angle_gamma 120.00
loop_
_atom_site_label
_atom_site_fract_x
_atom_site_fract_y
_atom_site_fract_z
_atom_site_occupancy
Pr1 0.3333 0.6667 0.2500 1
Tm1 0.1647 0.3294 0.7500 1
# E above lowest polymorph   0.00 eV/f.u.
# DOS(E_F)   13.70 states/eV/cell
# Energy of formation from the pure elements   12 meV per atom


9.
# Na4Tl5Ag2 (PBE, optimized geometry)
data_Na4Tl5Ag2
_space_group_name_H-M_alt 'P 1 2/m 1'
_space_group_IT_number 10
_space_group_name_Hall '-P 2y'
_cell_length_a 8.194
_cell_length_b 3.380
_cell_length_c 10.560
_cell_angle_alpha 90.00
_cell_angle_beta 93.77
_cell_angle_gamma 90.00
loop_
_atom_site_label
_atom_site_fract_x
_atom_site_fract_y
_atom_site_fract_z
_atom_site_occupancy
Na1 0.169 0.000 0.376 1
Na2 0.257 0.000 0.941 1
Tl1 0.180 0.500 0.662 1
Tl2 0.431 0.500 0.191 1
Tl3 0.500 0.500 0.500 1
Ag1 0.060 0.500 0.131 1
# DOS(E_F)   4.18 states/eV/cell
# Energy of formation from the pure elements   -41 meV per atom


10.
# Pm2ZrH12Rh3 (PBE, optimized geometry)
data_Pm2ZrH12Rh3
_space_group_name_H-M_alt 'R -3 m'
_space_group_IT_number 166
_space_group_name_Hall '-R 3 2"'
_cell_length_a 6.3477
_cell_length_b 6.3477
_cell_length_c 14.5657
_cell_angle_alpha 90.00
_cell_angle_beta 90.00
_cell_angle_gamma 120.00
loop_
_atom_site_label
_atom_site_fract_x
_atom_site_fract_y
_atom_site_fract_z
_atom_site_occupancy
Pm1 0.0000 0.0000 0.1155 1
Zr1 0.0000 0.0000 0.5000 1
H1 0.0206 0.5103 0.8808 1
H2 0.0388 0.5194 0.3196 1
Rh1 0.0000 0.5000 0.0000 1
# DOS(E_F)   25.79 states/eV/cell
# Final energy   -258.90 eV for the cell shown


11.
# Nd2Y2Sb5 (PBE, optimized geometry)
data_Nd2Y2Sb5
_space_group_name_H-M_alt 'C m c e'
_space_group_IT_number 64
_space_group_name_Hall '-C 2ac 2'
_cell_length_a 16.119
_cell_length_b 8.094
_cell_length_c 8.283
_cell_angle_alpha 90.00
_cell_angle_beta 90.00
_cell_angle_gamma 90.00
loop_
_atom_site_label
_atom_site_fract_x
_atom_site_fract_y
_atom_site_fract_z
_atom_site_occupancy
Nd1 0.191 0.000 0.000 1
Y1 0.000 0.158 0.338 1
Sb1 0.000 0.000 0.000 1
Sb2 0.136 0.141 0.642 1
# Energy relative to the elements, uncorrected   -894 meV/atom
# DOS(E_F)   27.36 states/eV/cell


12.
# SrMnMo4 (PBE, optimized geometry)
data_SrMnMo4
_space_group_name_H-M_alt 'F -4 3 m'
_space_group_IT_number 216
_space_group_name_Hall 'F -4 2 3'
_cell_length_a 7.690
_cell_length_b 7.690
_cell_length_c 7.690
_cell_angle_alpha 90.00
_cell_angle_beta 90.00
_cell_angle_gamma 90.00
loop_
_atom_site_label
_atom_site_fract_x
_atom_site_fract_y
_atom_site_fract_z
_atom_site_occupancy
Sr1 0.000 0.000 0.000 1
Mn1 0.250 0.250 0.750 1
Mo1 0.125 0.125 0.375 1
# DOS(E_F)   24.28 states/eV/cell
# Energy of formation from the pure elements   724 meV per atom


13.
# TiNbPt4 (PBE, optimized geometry)
data_TiNbPt4
_space_group_name_H-M_alt 'P 4/m m m'
_space_group_IT_number 123
_space_group_name_Hall '-P 4 2'
_cell_length_a 2.854
_cell_length_b 2.854
_cell_length_c 11.762
_cell_angle_alpha 90.00
_cell_angle_beta 90.00
_cell_angle_gamma 90.00
loop_
_atom_site_label
_atom_site_fract_x
_atom_site_fract_y
_atom_site_fract_z
_atom_site_occupancy
Ti1 0.000 0.000 0.000 1
Nb1 0.500 0.500 0.500 1
Pt1 0.000 0.000 0.336 1
Pt2 0.500 0.500 0.155 1
# E above lowest polymorph   0.00 eV/f.u.
# DOS(E_F)   4.70 states/eV/cell
# Energy of formation from the pure elements   -692 meV per atom


14.
# NdSm2Sc2 (PBE, optimized geometry)
data_NdSm2Sc2
_space_group_name_H-M_alt 'P -1'
_space_group_IT_number 2
_space_group_name_Hall '-P 1'
_cell_length_a 4.926
_cell_length_b 6.025
_cell_length_c 6.067
_cell_angle_alpha 80.76
_cell_angle_beta 66.05
_cell_angle_gamma 65.93
loop_
_atom_site_label
_atom_site_fract_x
_atom_site_fract_y
_atom_site_fract_z
_atom_site_occupancy
Nd1 0.000 0.000 0.000 1
Sm1 0.200 0.206 0.396 1
Sc1 0.398 0.405 0.799 1
# E above lowest polymorph   0.00 eV/f.u.
# DOS(E_F)   7.56 states/eV/cell
# Energy of formation from the pure elements   57 meV per atom


15.
# Pr2Sm3Si2 (PBE, optimized geometry)
data_Pr2Sm3Si2
_space_group_name_H-M_alt 'C 1 2/m 1'
_space_group_IT_number 12
_space_group_name_Hall '-C 2y'
_cell_length_a 11.980
_cell_length_b 4.275
_cell_length_c 8.541
_cell_angle_alpha 90.00
_cell_angle_beta 111.35
_cell_angle_gamma 90.00
loop_
_atom_site_label
_atom_site_fract_x
_atom_site_fract_y
_atom_site_fract_z
_atom_site_occupancy
Pr1 0.152 0.000 0.308 1
Sm1 0.000 0.500 0.500 1
Sm2 0.131 0.500 0.942 1
Si1 0.168 0.000 0.707 1
# Energy relative to the elements, uncorrected   -423 meV/atom
# DOS(E_F)   14.52 states/eV/cell


16.
# Dy5MgRh4 (PBE, optimized geometry)
data_Dy5MgRh4
_space_group_name_H-M_alt 'P 4/m m m'
_space_group_IT_number 123
_space_group_name_Hall '-P 4 2'
_cell_length_a 3.471
_cell_length_b 3.471
_cell_length_c 17.884
_cell_angle_alpha 90.00
_cell_angle_beta 90.00
_cell_angle_gamma 90.00
loop_
_atom_site_label
_atom_site_fract_x
_atom_site_fract_y
_atom_site_fract_z
_atom_site_occupancy
Dy1 0.000 0.000 0.000 1
Dy2 0.000 0.000 0.189 1
Dy3 0.000 0.000 0.375 1
Mg1 0.500 0.500 0.500 1
Rh1 0.500 0.500 0.095 1
Rh2 0.500 0.500 0.287 1
# DOS(E_F)   6.98 states/eV/cell
# Energy of formation from the pure elements   -721 meV per atom


17.
# LiPm2Ni3H12 (PBE, optimized geometry)
data_LiPm2Ni3H12
_space_group_name_H-M_alt 'R -3 m'
_space_group_IT_number 166
_space_group_name_Hall '-R 3 2"'
_cell_length_a 5.8761
_cell_length_b 5.8761
_cell_length_c 14.6044
_cell_angle_alpha 90.00
_cell_angle_beta 90.00
_cell_angle_gamma 120.00
loop_
_atom_site_label
_atom_site_fract_x
_atom_site_fract_y
_atom_site_fract_z
_atom_site_occupancy
Li1 0.0000 0.0000 0.0000 1
Pm1 0.0000 0.0000 0.3858 1
Ni1 0.0000 0.5000 0.5000 1
H1 0.0084 0.5042 0.3896 1
H2 0.0372 0.5186 0.8271 1
# DOS(E_F)   22.12 states/eV/cell
# Final energy   -220.75 eV for the cell shown


18.
# Ba12In3Au5 (PBE, optimized geometry)
data_Ba12In3Au5
_space_group_name_H-M_alt 'I a -3 d'
_space_group_IT_number 230
_space_group_name_Hall '-I 4bd 2c 3'
_cell_length_a 19.973
_cell_length_b 19.973
_cell_length_c 19.973
_cell_angle_alpha 90.00
_cell_angle_beta 90.00
_cell_angle_gamma 90.00
loop_
_atom_site_label
_atom_site_fract_x
_atom_site_fract_y
_atom_site_fract_z
_atom_site_occupancy
Ba1 0.022 0.066 0.652 1
In1 0.000 0.250 0.125 1
Au1 0.000 0.000 0.000 1
Au2 0.000 0.250 0.375 1
# DOS(E_F)   144.76 states/eV/cell
# Energy of formation from the pure elements   -356 meV per atom


no.,volume (Å³/atom),total moment (μB/cell)
1,23.3,2.7
2,35.0,0.0
3,28.3,0.0
4,23.9,0.0
5,26.2,2.3
6,10.9,2.1
7,20.1,0.0
8,31.8,0.0
9,26.5,0.0
10,9.4,3.0
11,30.0,0.0
12,18.9,11.4
13,16.0,0.6
14,30.0,0.0
15,29.1,0.0
16,21.5,0.0
17,8.1,1.5
18,49.8,0.0